(1)
Tb12HoEr3 | the Alexandria database | PBE | relaxed; calculated formation energy = 0.018 eV per atom; energy = -4.597 eV per atom; DOS(E_F) = 21.10 states/eV per cell; space group = No. 123
1.0
5.009 0.000 0.000
0.000 5.009 0.000
0.000 0.000 20.024
Tb Ho Er
12 1 3
Direct
0.000 0.000 0.000
0.000 0.000 0.250
0.000 0.000 0.500
0.000 0.000 0.750
0.000 0.500 0.125
0.000 0.500 0.375
0.000 0.500 0.625
0.000 0.500 0.875
0.500 0.000 0.125
0.500 0.000 0.375
0.500 0.000 0.625
0.500 0.000 0.875
0.500 0.500 0.000
0.500 0.500 0.250
0.500 0.500 0.500
0.500 0.500 0.750

=====

(2)
Tb4Ho3Er3 | the Alexandria database | PBE | relaxed; calculated formation energy = 0.097 eV per atom; energy = -4.498 eV per atom; DOS(E_F) = 8.02 states/eV per cell; space group = No. 38
1.0
3.702 0.000 0.000
0.000 6.508 6.511
0.000 -6.508 6.511
Tb Ho Er
4 3 3
Direct
0.000 0.000 0.000
0.000 0.257 0.257
0.000 0.500 0.757
0.000 0.757 0.500
0.500 0.299 0.958
0.500 0.458 0.458
0.500 0.958 0.299
0.000 0.128 0.629
0.000 0.629 0.128
0.500 0.799 0.799

=====

(3)
TbHo8Er2 | the Alexandria database | PBE | relaxed; calculated formation energy = 0.180 eV per atom; energy = -4.400 eV per atom; DOS(E_F) = 17.36 states/eV per cell; space group = No. 12
1.0
8.178 -3.286 0.000
8.178 3.286 0.000
-1.190 0.000 6.460
Tb Ho Er
1 8 2
Direct
0.000 0.000 0.000
0.174 0.649 0.594
0.243 0.243 0.311
0.351 0.826 0.406
0.411 0.411 0.094
0.589 0.589 0.906
0.649 0.174 0.594
0.757 0.757 0.689
0.826 0.351 0.406
0.203 0.203 0.801
0.797 0.797 0.199

=====

(4)
Tb9Ho4Er11 | the Alexandria database | PBE | relaxed; calculated formation energy = 0.048 eV per atom; energy = -4.543 eV per atom; DOS(E_F) = 29.10 states/eV per cell; space group = No. 65
1.0
8.260 -12.472 0.000
8.260 12.472 0.000
0.000 0.000 3.639
Tb Ho Er
9 4 11
Direct
0.000 0.000 0.000
0.132 0.664 0.000
0.286 0.432 0.000
0.336 0.868 0.000
0.432 0.286 0.000
0.568 0.714 0.000
0.664 0.132 0.000
0.714 0.568 0.000
0.868 0.336 0.000
0.054 0.256 0.000
0.256 0.054 0.000
0.744 0.946 0.000
0.946 0.744 0.000
0.093 0.455 0.500
0.133 0.867 0.500
0.208 0.208 0.500
0.340 0.660 0.500
0.455 0.093 0.500
0.500 0.500 0.500
0.545 0.907 0.500
0.660 0.340 0.500
0.792 0.792 0.500
0.867 0.133 0.500
0.907 0.545 0.500

=====

energy of number 2 (Tb4Ho3Er3)? -4.498 eV per atom

=====

calculated formation energy of number 1 (Tb12HoEr3)? 0.018 eV per atom

=====

Among the records above, which one has the highest DOS(E_F)? Tb9Ho4Er11